This record from Alexandria via LeMat-Bulk describes an optimized crystal structure of AcTl2Zn3F12. The functional is GGA-PBE.

The calculation puts the calculated total energy at -4.493 eV per atom. Its total magnetization is 0.00 μB per formula unit.

It has space group R-3m (No. 166, hexagonal axes), with a = 7.6660 Å, b = 7.6660 Å, c = 16.1767 Å, α = 90.00°, β = 90.00° and γ = 120.00°. The distinct sites, in fractional coordinates, are Ac at (0.0000, 0.0000, 0.0000), Tl at (0.0000, 0.0000, 0.3886), Zn at (0.0000, 0.5000, 0.5000), F at (0.0551, 0.5275, 0.3760) and F at (0.0893, 0.5446, 0.7996).